No. 1
This record from Alexandria via LeMat-Bulk describes a geometry-optimized PmTm2Pd9 structure. The functional is PBE.

Output
- Volume: 17.55 A^3/atom
- E_form: -0.867 eV per atom
- Magnetic moment: 0.000 μB/atom

Structure (CIF):
```
data_PmTm2Pd9
_space_group_name_H-M_alt 'P 4/m m m'
_space_group_IT_number 123
_space_group_name_Hall '-P 4 2'
_cell_length_a 4.130
_cell_length_b 4.130
_cell_length_c 12.342
_cell_angle_alpha 90.00
_cell_angle_beta 90.00
_cell_angle_gamma 90.00
loop_
_atom_site_label
_atom_site_fract_x
_atom_site_fract_y
_atom_site_fract_z
Pm1 0.000 0.000 0.000
Tm1 0.000 0.000 0.337
Pd1 0.000 0.500 0.173
Pd2 0.000 0.500 0.500
Pd3 0.500 0.500 0.000
Pd4 0.500 0.500 0.335
```



No. 2
This record from Alexandria via LeMat-Bulk describes a geometry-optimized CuHgMo2 structure. The functional is PBE.

Output
- Volume: 16.26 A^3/atom
- E_form: 0.405 eV per atom
- Magnetic moment: 0.000 μB/atom

Structure (CIF):
```
data_CuHgMo2
_space_group_name_H-M_alt 'P 4 m m'
_space_group_IT_number 99
_space_group_name_Hall 'P 4 -2'
_cell_length_a 2.733
_cell_length_b 2.733
_cell_length_c 8.708
_cell_angle_alpha 90.00
_cell_angle_beta 90.00
_cell_angle_gamma 90.00
loop_
_atom_site_label
_atom_site_fract_x
_atom_site_fract_y
_atom_site_fract_z
Cu1 0.000 0.000 0.000
Hg1 0.500 0.500 0.246
Mo1 0.000 0.000 0.519
Mo2 0.500 0.500 0.781
```



No. 3
This record from Alexandria via LeMat-Bulk describes a geometry-optimized MgUBeO5 structure. The functional is PBE.

Output
- Volume: 12.13 A^3/atom
- Raw formation energy: -2.8008 eV/atom
- Magnetic moment: 0.000 μB/atom

Structure (CIF):
```
data_MgUBeO5
_space_group_name_H-M_alt 'C 1 2/c 1'
_space_group_IT_number 15
_space_group_name_Hall '-C 2yc'
_cell_length_a 6.467
_cell_length_b 8.522
_cell_length_c 7.708
_cell_angle_alpha 90.00
_cell_angle_beta 113.96
_cell_angle_gamma 90.00
loop_
_atom_site_label
_atom_site_fract_x
_atom_site_fract_y
_atom_site_fract_z
Mg1 0.000 0.142 0.250
U1 0.000 0.500 0.000
Be1 0.000 0.186 0.750
O1 0.000 0.381 0.250
O2 0.135 0.304 0.660
O3 0.164 0.060 0.910
```